This record from Alexandria describes a relaxed structure of MgMn2CdF. The functional is GGA+U.

Lattice parameters (Å, degrees): 5.418 5.418 5.276 90.00 90.00 90.00
Sites, in units of the cell vectors:
1 Mg 0.000 0.000 0.000
2 Mn 0.000 0.500 0.000
3 Mn 0.500 0.000 0.000
4 Cd 0.000 0.000 0.500
5 F 0.500 0.500 0.500

Results
E = -3.377 eV per atom
SG = No. 123